(1)
This record from the Alexandria database describes crystalline Ca2Al7Ir at its relaxed geometry. The functional is PBE-GGA.

Unit cell a=4.1452 b=4.1452 c=11.5886 alpha=90.00 beta=90.00 gamma=90.00
Space group P-4m2 (No. 115)
Inequivalent atoms, fractional coordinates:
Ca1 0.0000 0.5000 0.2388 x2
Al1 0.0000 0.0000 0.0000 x1
Al2 0.0000 0.0000 0.5000 x1
Al3 0.0000 0.5000 0.6447 x2
Al4 0.0000 0.5000 0.8706 x2
Al5 0.5000 0.5000 0.5000 x1
Ir1 0.5000 0.5000 0.0000 x1

Properties
ΔE_f ... -3.3 eV/f.u.
Raw total energy ... -4.24 eV/atom

(2)
This record from the Alexandria database describes crystalline Ca2AlIr at its relaxed geometry. The functional is PBE-GGA.

Unit cell a=3.3710 b=3.3710 c=28.5470 alpha=90.00 beta=90.00 gamma=120.00
Space group R-3m (No. 166, hexagonal axes)
Inequivalent atoms, fractional coordinates:
Ca1 0.0000 0.0000 0.2406 x6
Al1 0.0000 0.0000 0.0000 x3
Ir1 0.0000 0.0000 0.5000 x3

Properties
ΔE_f ... 0.4 eV/f.u.
Raw total energy ... -4.06 eV/atom

(3)
This record from the Alexandria database describes crystalline Ca2Al9Ir6 at its relaxed geometry. The functional is PBE-GGA.

Unit cell a=7.0154 b=7.0154 c=8.5732 alpha=90.00 beta=90.00 gamma=120.00
Space group P6/mmm (No. 191)
Inequivalent atoms, fractional coordinates:
Ca1 0.0000 0.0000 0.2365 x2
Al1 0.0000 0.5000 0.0000 x3
Al2 0.0000 0.5000 0.3341 x6
Ir1 0.3333 0.6667 0.1676 x4
Ir2 0.3333 0.6667 0.5000 x2

Properties
ΔE_f ... -9.5 eV/f.u.
Raw total energy ... -5.90 eV/atom

(4)
This record from the Alexandria database describes crystalline Ca2AlIr at its relaxed geometry. The functional is PBE-GGA.

Unit cell a=10.3682 b=10.3682 c=4.7983 alpha=90.00 beta=90.00 gamma=90.00
Space group I-42d (No. 122)
Inequivalent atoms, fractional coordinates:
Ca1 0.0849 0.2500 0.1250 x8
Al1 0.0000 0.0000 0.5000 x4
Ir1 0.0000 0.0000 0.0000 x4

Properties
ΔE_f ... -0.9 eV/f.u.
Raw total energy ... -4.38 eV/atom

(5)
This record from the Alexandria database describes crystalline Ca2Al2Ir at its relaxed geometry. The functional is PBE-GGA.

Unit cell a=6.6735 b=6.6735 c=4.9716 alpha=90.00 beta=90.00 gamma=90.00
Space group P4/mbm (No. 127)
Inequivalent atoms, fractional coordinates:
Ca1 0.1810 0.3190 0.0000 x4
Al1 0.1432 0.6432 0.5000 x4
Ir1 0.0000 0.0000 0.5000 x2

Properties
ΔE_f ... -1.7 eV/f.u.
Raw total energy ... -4.40 eV/atom

(6)
This record from the Alexandria database describes crystalline Ca3Al7Ir2 at its relaxed geometry. The functional is PBE-GGA.

Unit cell a=4.5557 b=27.5662 c=4.4478 alpha=90.00 beta=90.00 gamma=90.00
Space group Cmmm (No. 65)
Inequivalent atoms, fractional coordinates:
Ca1 0.0000 0.0000 0.0000 x2
Ca2 0.0000 0.2047 0.0000 x4
Al1 0.0000 0.1141 0.5000 x4
Al2 0.0000 0.3181 0.5000 x4
Al3 0.0000 0.3849 0.0000 x4
Al4 0.0000 0.5000 0.5000 x2
Ir1 0.0000 0.4173 0.5000 x4

Properties
ΔE_f ... -3.4 eV/f.u.
Raw total energy ... -4.44 eV/atom